A geometry-optimized NbAsPtF2 structure. Source: Alexandria, functional PBE-GGA.

```
data_NbAsPtF2
_space_group_name_H-M_alt 'P 1'
_space_group_IT_number 1
_cell_length_a 3.8884
_cell_length_b 3.8884
_cell_length_c 5.7496
_cell_angle_alpha 90.00
_cell_angle_beta 90.00
_cell_angle_gamma 90.00
loop_
_space_group_symop_operation_xyz
'x,y,z'
loop_
_atom_site_label
_atom_site_fract_x
_atom_site_fract_y
_atom_site_fract_z
_atom_site_occupancy
Nb1 0.0000 0.0000 0.0000 1
As1 0.0000 0.0000 0.5000 1
Pt1 0.5000 0.5000 0.0000 1
F1 0.0000 0.5000 0.5000 1
F2 0.5000 0.0000 0.5000 1
```

Properties
Calculated total energy: -0.401 Ry/atom
Formation energy without anion corrections: -0.554 eV per atom